# NdEuTeBr

A geometry-optimized NdEuTeBr structure (GGA-PBE, Alexandria).

a b c (Å): 7.7076 7.7076 7.7076
angles (deg): 90.00 90.00 90.00
With the nearest neighbours (Å) after each atom.
Space group F-43m (No. 216)
Unique sites:
Nd1 0.0000 0.0000 0.0000 x4  4 Br 3.34, 4 Te 3.34
Eu1 0.0000 0.0000 0.5000 x4  4 Br 3.34, 4 Te 3.34
Te1 0.2500 0.2500 0.2500 x4  4 Nd 3.34, 4 Eu 3.34
Br1 0.2500 0.2500 0.7500 x4  4 Nd 3.34, 4 Eu 3.34

Values from the calculation:
* spin magnetization: 8.39 μB per formula unit
* total energy: -0.460 Ry per atom
* uncorrected formation energy: -29.7 kcal/mol of atoms